(1)
An optimized crystal structure of Ga2CoSn2, computed with PBE-GGA.

Calculated values
VASP energy (eV per cell): -39.65
Formation enthalpy at 0 K (eV/atom): 0.27
Space group: P4/mbm (127)

Cell: 6.7517 6.7517 4.7520 Å, 90.00 90.00 90.00°
Last column: nearest neighbours and their distance in Å.
Sites, in units of the cell vectors:
Co  0.5000  0.5000  0.0000  4 Sn 2.53
Co  0.0000  0.0000  0.0000  4 Sn 2.53
Sn  0.1633  0.3367  0.0000  2 Co 2.53
Sn  0.3367  0.8367  0.0000  2 Co 2.53
Sn  0.8367  0.6633  0.0000  2 Co 2.53
Sn  0.6633  0.1633  0.0000  2 Co 2.53
Ga  0.1560  0.6560  0.5000  6 Sn 2.94-3.21, 1 Ga 2.98
Ga  0.3440  0.1560  0.5000  6 Sn 2.94-3.21, 1 Ga 2.98
Ga  0.6560  0.8440  0.5000  6 Sn 2.94-3.21, 1 Ga 2.98
Ga  0.8440  0.3440  0.5000  6 Sn 2.94-3.21, 1 Ga 2.98

***

(2)
An optimized crystal structure of LaCrIn2, computed with PBE-GGA.

Calculated values
VASP energy (eV per cell): -19.64
Formation enthalpy at 0 K (eV/atom): 0.10
Space group: Imm2 (44)

Cell: 6.9376 6.9376 4.6244 Å, 70.53 70.53 30.65°
Last column: nearest neighbours and their distance in Å.
Sites, in units of the cell vectors:
In  0.0683  0.0683  0.9316  2 Cr 2.87, 2 In 3.10
In  0.2326  0.2326  0.2674  4 Cr 2.95, 2 In 3.10
La  0.4549  0.4549  0.5451  2 Cr 3.22, 4 In 3.28
Cr  0.7442  0.7442  0.7558  6 In 2.87-2.95

***

(3)
An optimized crystal structure of AuBr2Cl, computed with PBE-GGA.

Calculated values
Raw formation energy (eV per atom): 0.3251
VASP energy (eV per cell): -7.17
Space group: Pmmm (47)

Cell: 2.7367 4.0033 10.0762 Å, 90.00 90.00 90.00°
Last column: nearest neighbours and their distance in Å.
Sites, in units of the cell vectors:
Br  0.0000  0.0000  0.9393  2 Br 2.74
Br  0.0000  0.0000  0.5607  2 Br 2.74
Au  0.5000  0.5000  0.7500  2 Au 2.74
Cl  0.5000  0.5000  0.2500  2 Cl 2.74

***

(4)
An optimized crystal structure of CoHgPt2, computed with PBE-GGA.

Calculated values
VASP energy (eV per cell): -18.86
Formation enthalpy at 0 K (eV/atom): 0.16
Space group: P4/mmm (123)

Cell: 4.0150 4.0185 3.9417 Å, 90.00 90.00 90.00°
Last column: nearest neighbours and their distance in Å.
Sites, in units of the cell vectors:
Co  0.5000  0.0000  0.5000  8 Pt 2.81, 4 Hg 2.84
Hg  0.0000  0.5000  0.5000  8 Pt 2.81, 4 Co 2.84
Pt  0.5000  0.5000  0.0000  4 Hg 2.81, 4 Co 2.81, 4 Pt 2.84
Pt  0.0000  0.0000  0.0000  4 Co 2.81, 4 Hg 2.81, 4 Pt 2.84

***

(5)
An optimized crystal structure of SrCa2GaRh, computed with PBE-GGA.

Calculated values
VASP energy (eV per cell): -17.51
Formation enthalpy at 0 K (eV/atom): -0.29
Space group: P4/mmm (123)

Cell: 5.4975 5.4975 5.0048 Å, 90.00 90.00 90.00°
Last column: nearest neighbours and their distance in Å.
Sites, in units of the cell vectors:
Rh  0.0000  0.0000  0.0000  2 Ga 2.50, 4 Ca 2.75
Ca  0.5000  0.0000  0.0000  2 Rh 2.75
Ca  0.0000  0.5000  0.0000  2 Rh 2.75
Sr  0.5000  0.5000  0.5000  8 Ca 3.72, 4 Ga 3.89
Ga  0.0000  0.0000  0.5000  2 Rh 2.50

***

(6)
An optimized crystal structure of Ca2ZrNi9, computed with PBE-GGA.

Calculated values
VASP energy (eV per cell): -67.19
Formation enthalpy at 0 K (eV/atom): -0.22
Space group: R-3m (166)

Cell: 4.8859 4.8859 8.6520 Å, 73.60 73.60 60.00°
Last column: nearest neighbours and their distance in Å.
Sites, in units of the cell vectors:
Ni  0.3330  0.3330  0.0010  6 Ni 2.41-2.42
Ni  0.4209  0.4209  0.2392  7 Ni 2.41-2.55
Ni  0.5000  0.5000  0.5000  6 Ni 2.55
Ni  0.5791  0.5791  0.7608  7 Ni 2.41-2.55
Ni  0.5791  0.0810  0.7608  7 Ni 2.41-2.55
Ni  0.4209  0.9190  0.2392  7 Ni 2.41-2.55
Ni  0.6670  0.6670  0.9990  6 Ni 2.41-2.42
Ni  0.9190  0.4209  0.2392  7 Ni 2.41-2.55
Ni  0.0810  0.5791  0.7608  7 Ni 2.41-2.55
Zr  0.0000  0.0000  0.0000  18 Ni 2.82-3.13
Ca  0.1406  0.1406  0.5781  12 Ni 2.86-3.11, 3 Ca 3.10
Ca  0.8594  0.8594  0.4219  12 Ni 2.86-3.11, 3 Ca 3.10

***

(7)
An optimized crystal structure of HgH3Ir, computed with PBE-GGA.

Calculated values
VASP energy (eV per cell): -12.53
Space group: Pm-3m (221)

Cell: 3.6992 3.6992 3.6992 Å, 90.00 90.00 90.00°
Last column: nearest neighbours and their distance in Å.
Sites, in units of the cell vectors:
Ir  0.5000  0.5000  0.5000  12 H 2.62
Hg  0.0000  0.0000  0.0000  6 H 1.85
H  0.0000  0.0000  0.5000  2 Hg 1.85
H  0.0000  0.5000  0.0000  2 Hg 1.85
H  0.5000  0.0000  0.0000  2 Hg 1.85

***

(8)
An optimized crystal structure of AcEuGa2, computed with PBE-GGA.

Calculated values
VASP energy (eV per cell): -21.38
Formation enthalpy at 0 K (eV/atom): -0.24
Space group: R-3m (166)

Cell: 3.9726 3.9726 9.5643 Å, 78.01 78.01 60.00°
Last column: nearest neighbours and their distance in Å.
Sites, in units of the cell vectors:
Ga  0.7526  0.7526  0.7423  3 Eu 3.21, 3 Ac 3.31
Ga  0.2474  0.2474  0.2577  3 Eu 3.21, 3 Ac 3.31
Eu  0.5000  0.5000  0.5000  6 Ga 3.21
Ac  0.0000  0.0000  0.0000  6 Ga 3.31

***

(9)
An optimized crystal structure of Pr12InPt7, computed with PBE-GGA.

Calculated values
VASP energy (eV per cell): -239.64
Formation enthalpy at 0 K (eV/atom): -0.87
Space group: I4/mcm (140)

Cell: 11.3423 11.3423 11.3423 Å, 114.91 114.91 99.07°
Last column: nearest neighbours and their distance in Å.
Sites, in units of the cell vectors:
Pt  0.6302  0.4794  0.5000  6 Pr 2.87-3.20, 1 Pt 3.06
Pt  0.0206  0.8698  0.5000  6 Pr 2.87-3.20, 1 Pt 3.06
Pt  0.8739  0.3739  0.2479  6 Pr 2.95-2.99
Pt  0.4794  0.9794  0.8492  6 Pr 2.87-3.20, 1 Pt 3.06
Pt  0.8698  0.3698  0.8492  6 Pr 2.87-3.20, 1 Pt 3.06
Pt  0.6261  0.8739  0.5000  6 Pr 2.95-2.99
Pt  0.7500  0.7500  0.0000  8 Pr 3.11
Pt  0.3739  0.1261  0.5000  6 Pr 2.95-2.99
Pt  0.1261  0.6261  0.7521  6 Pr 2.95-2.99
Pt  0.1302  0.6302  0.1508  6 Pr 2.87-3.20, 1 Pt 3.06
Pt  0.3698  0.5206  0.5000  6 Pr 2.87-3.20, 1 Pt 3.06
Pt  0.2500  0.2500  0.0000  8 Pr 3.11
Pt  0.9794  0.1302  0.5000  6 Pr 2.87-3.20, 1 Pt 3.06
Pt  0.5206  0.0206  0.1508  6 Pr 2.87-3.20, 1 Pt 3.06
Pr  0.6758  0.1758  0.8517  2 Pt 2.87
Pr  0.5647  0.2844  0.1346  4 Pt 2.99-3.20
Pr  0.6498  0.7844  0.7196  4 Pt 2.99-3.20
Pr  0.0647  0.9301  0.2804  4 Pt 2.99-3.20
Pr  0.1498  0.4301  0.8654  4 Pt 2.99-3.20
Pr  0.7156  0.8502  0.2804  4 Pt 2.99-3.20
Pr  0.4301  0.5647  0.2804  4 Pt 2.99-3.20
Pr  0.8242  0.6758  0.5000  2 Pt 2.87
Pr  0.3502  0.2156  0.2804  4 Pt 2.99-3.20
Pr  0.3242  0.8242  0.1483  2 Pt 2.87
Pr  0.1758  0.3242  0.5000  2 Pt 2.87
Pr  0.5699  0.4353  0.7196  4 Pt 2.99-3.20
Pr  0.9301  0.6498  0.8654  4 Pt 2.99-3.20
Pr  0.6356  0.1356  0.5000  4 Pt 2.95-3.14
Pr  0.7844  0.0647  0.1346  4 Pt 2.99-3.20
Pr  0.3644  0.8644  0.5000  4 Pt 2.95-3.14
Pr  0.4353  0.7156  0.8654  4 Pt 2.99-3.20
Pr  0.2844  0.1498  0.7196  4 Pt 2.99-3.20
Pr  0.1356  0.6356  0.5000  4 Pt 2.95-3.14
Pr  0.8644  0.3644  0.5000  4 Pt 2.95-3.14
Pr  0.8502  0.5699  0.1346  4 Pt 2.99-3.20
Pr  0.0699  0.3502  0.1346  4 Pt 2.99-3.20
Pr  0.9353  0.0699  0.7196  4 Pt 2.99-3.20
Pr  0.2156  0.9353  0.8654  4 Pt 2.99-3.20
In  0.0000  0.0000  0.0000  8 Pr 3.41, 2 Pt 3.68
In  0.5000  0.5000  0.0000  8 Pr 3.41, 2 Pt 3.68

***

(10)
An optimized crystal structure of AcEuScAl, computed with PBE-GGA.

Calculated values
VASP energy (eV per cell): -24.00
Formation enthalpy at 0 K (eV/atom): 0.12
Space group: F-43m (216)

Cell: 5.4834 5.4834 5.4834 Å, 60.00 60.00 60.00°
Last column: nearest neighbours and their distance in Å.
Sites, in units of the cell vectors:
Al  0.5000  0.5000  0.5000  4 Sc 3.36, 4 Eu 3.36
Ac  0.0000  0.0000  0.0000  4 Sc 3.36, 4 Eu 3.36
Eu  0.7500  0.7500  0.7500  4 Ac 3.36, 4 Al 3.36
Sc  0.2500  0.2500  0.2500  4 Ac 3.36, 4 Al 3.36

***

(11)
An optimized crystal structure of Y3Ta, computed with PBE-GGA.

Calculated values
VASP energy (eV per cell): -29.47
Formation enthalpy at 0 K (eV/atom): 0.44
Space group: Fm-3m (225)

Cell: 5.3889 5.3889 5.3889 Å, 60.00 60.00 60.00°
Last column: nearest neighbours and their distance in Å.
Sites, in units of the cell vectors:
Ta  0.0000  0.0000  0.0000  8 Y 3.30
Y  0.2500  0.2500  0.2500  4 Ta 3.30, 4 Y 3.30
Y  0.5000  0.5000  0.5000  8 Y 3.30
Y  0.7500  0.7500  0.7500  4 Ta 3.30, 4 Y 3.30

***

(12)
An optimized crystal structure of BaZrSe2, computed with PBE-GGA.

Calculated values
Raw formation energy (eV per atom): -1.1107
VASP energy (eV per cell): -21.88
Space group: R-3m (166)

Cell: 9.8709 9.8709 9.8709 Å, 22.95 22.95 22.95°
Last column: nearest neighbours and their distance in Å.
Sites, in units of the cell vectors:
Se  0.1120  0.1120  0.1120  3 Zr 2.76
Se  0.8880  0.8880  0.8880  3 Zr 2.76
Zr  0.5000  0.5000  0.5000  6 Se 2.76
Ba  0.0000  0.0000  0.0000  2 Se 3.23

***

| no. | magnetization (μB per atom) |
| --- | --- |
| 1 | 0.1114 |
| 2 | 1.0324 |
| 3 | 0.0705 |
| 4 | 0.6106 |
| 5 | 0.0000 |
| 6 | 0.1068 |
| 7 | 0.0000 |
| 8 | 1.8560 |
| 9 | 0.0000 |
| 10 | 2.1819 |
| 11 | 0.7061 |
| 12 | 0.0000 |